Entry 1:
Density functional theory data (PBE) for a geometry-optimized Na4TeH structure.

* E: -13.6 eV/cell

a b c (Å): 4.8724 4.8724 7.0846
angles (deg): 90.00 90.00 90.00
Space group P4/mmm (No. 123)
Unique sites:
Na (0.0000, 0.5000, 0.2214) [4 per cell]
Te (0.0000, 0.0000, 0.5000) [1 per cell]
H (0.5000, 0.5000, 0.0000) [1 per cell]

Entry 2:
Density functional theory data (PBE) for a geometry-optimized Hg4Pd3Pt structure.

* energy relative to the elements: -0.8 eV per formula unit
* E: -70.9 eV/cell

a b c (Å): 4.6757 4.6757 22.9466
angles (deg): 90.00 90.00 120.00
Space group R-3m (No. 166, hexagonal axes)
Unique sites:
Hg (0.0000, 0.0000, 0.1251) [6 per cell]
Hg (0.0000, 0.0000, 0.3752) [6 per cell]
Pd (0.0000, 0.0000, 0.2497) [6 per cell]
Pd (0.0000, 0.0000, 0.5000) [3 per cell]
Pt (0.0000, 0.0000, 0.0000) [3 per cell]